Record 1
# Ca4AcPr2, optimized geometry, DFT PBE
data_Ca4AcPr2
_chemical_formula_sum 'Ca8 Ac2 Pr4'
_space_group_name_H-M_alt 'I 4/m m m'
_space_group_IT_number 139
_space_group_name_Hall '-I 4 2'
_cell_length_a 6.1173
_cell_length_b 6.1173
_cell_length_c 18.0380
_cell_angle_alpha 90.00
_cell_angle_beta 90.00
_cell_angle_gamma 90.00
loop_
_atom_site_label
_atom_site_fract_x
_atom_site_fract_y
_atom_site_fract_z
_atom_site_occupancy
Ca1 0.0000 0.0000 0.1886 1
Ca2 0.0000 0.5000 0.0000 1
Ac1 0.0000 0.0000 0.0000 1
Pr1 0.0000 0.0000 0.3979 1
# Theoretical density ... 3.3 g cm⁻³
# Energy above the lowest structure with this stoichiometry ... 641.8 meV/atom
# Size of the total moment ... 0.00 μB per cell
# Formation enthalpy at 0 K ... 677 meV per atom

=====

Record 2
# CaAc3Pr8, optimized geometry, DFT PBE
data_CaAc3Pr8
_chemical_formula_sum 'Ca2 Ac6 Pr16'
_space_group_name_H-M_alt 'I 2 2 2'
_space_group_IT_number 23
_cell_length_a 6.6652
_cell_length_b 9.5346
_cell_length_c 14.9738
_cell_angle_alpha 90.00
_cell_angle_beta 90.00
_cell_angle_gamma 90.00
loop_
_space_group_symop_operation_xyz
'x,y,z'
'-x,-y,z'
'x,-y,-z'
'-x,y,-z'
'x+1/2,y+1/2,z+1/2'
'-x+1/2,-y+1/2,z+1/2'
'x+1/2,-y+1/2,-z+1/2'
'-x+1/2,y+1/2,-z+1/2'
loop_
_atom_site_label
_atom_site_fract_x
_atom_site_fract_y
_atom_site_fract_z
_atom_site_occupancy
Ca1 0.0000 0.0000 0.0000 1
Ac1 0.0000 0.0000 0.5000 1
Ac2 0.0000 0.5000 0.1292 1
Pr1 0.1178 0.3406 0.3970 1
Pr2 0.1353 0.1483 0.2123 1
# Theoretical density ... 6.5 g cm⁻³
# Size of the total moment ... 0.00 μB per cell
# Formation enthalpy at 0 K ... 259 meV per atom

=====

Record 3
# CaAc2Pr3, optimized geometry, DFT PBE
data_CaAc2Pr3
_chemical_formula_sum 'Ca2 Ac4 Pr6'
_space_group_name_H-M_alt 'P -1'
_space_group_IT_number 2
_cell_length_a 3.7865
_cell_length_b 10.7317
_cell_length_c 11.9932
_cell_angle_alpha 91.98
_cell_angle_beta 96.93
_cell_angle_gamma 94.61
loop_
_space_group_symop_operation_xyz
'x,y,z'
'-x,-y,-z'
loop_
_atom_site_label
_atom_site_fract_x
_atom_site_fract_y
_atom_site_fract_z
_atom_site_occupancy
Ca1 0.1245 0.2472 0.3580 1
Ac1 0.2071 0.5998 0.3828 1
Ac2 0.2685 0.0859 0.6485 1
Pr1 0.1224 0.7346 0.1010 1
Pr2 0.3239 0.0844 0.1042 1
Pr3 0.4306 0.5674 0.8624 1
# Theoretical density ... 6.3 g cm⁻³
# Energy above the lowest structure with this stoichiometry ... 0.0 meV/atom
# Size of the total moment ... 0.00 μB per cell
# Formation enthalpy at 0 K ... 59 meV per atom

=====

Record 4
# CaAc7Pr12, optimized geometry, DFT PBE
data_CaAc7Pr12
_chemical_formula_sum 'Ca2 Ac14 Pr24'
_space_group_name_H-M_alt 'I m -3'
_space_group_IT_number 204
_space_group_name_Hall '-I 2 2 3'
_cell_length_a 12.3735
_cell_length_b 12.3735
_cell_length_c 12.3735
_cell_angle_alpha 90.00
_cell_angle_beta 90.00
_cell_angle_gamma 90.00
loop_
_atom_site_label
_atom_site_fract_x
_atom_site_fract_y
_atom_site_fract_z
_atom_site_occupancy
Ca1 0.0000 0.0000 0.0000 1
Ac1 0.0000 0.0000 0.5000 1
Ac2 0.2500 0.2500 0.2500 1
Pr1 0.0000 0.3348 0.2459 1
# Theoretical density ... 5.8 g cm⁻³
# Size of the total moment ... 0.00 μB per cell
# Formation enthalpy at 0 K ... 705 meV per atom

=====

Record 5
# CaAcPr2, optimized geometry, DFT PBE
data_CaAcPr2
_chemical_formula_sum 'Ca1 Ac1 Pr2'
_space_group_name_H-M_alt 'P 4/m m m'
_space_group_IT_number 123
_space_group_name_Hall '-P 4 2'
_cell_length_a 5.3406
_cell_length_b 5.3406
_cell_length_c 5.4617
_cell_angle_alpha 90.00
_cell_angle_beta 90.00
_cell_angle_gamma 90.00
loop_
_atom_site_label
_atom_site_fract_x
_atom_site_fract_y
_atom_site_fract_z
_atom_site_occupancy
Ca1 0.0000 0.0000 0.0000 1
Ac1 0.5000 0.5000 0.0000 1
Pr1 0.0000 0.5000 0.5000 1
# Theoretical density ... 5.9 g cm⁻³
# Energy above the lowest structure with this stoichiometry ... 15.3 meV/atom
# Size of the total moment ... 0.00 μB per cell
# Formation enthalpy at 0 K ... 58 meV per atom

=====

Record 6
# CaAc2Pr, optimized geometry, DFT PBE
data_CaAc2Pr
_chemical_formula_sum 'Ca1 Ac2 Pr1'
_space_group_name_H-M_alt 'P 4/m m m'
_space_group_IT_number 123
_space_group_name_Hall '-P 4 2'
_cell_length_a 3.9135
_cell_length_b 3.9135
_cell_length_c 10.9909
_cell_angle_alpha 90.00
_cell_angle_beta 90.00
_cell_angle_gamma 90.00
loop_
_atom_site_label
_atom_site_fract_x
_atom_site_fract_y
_atom_site_fract_z
_atom_site_occupancy
Ca1 0.0000 0.0000 0.0000 1
Ac1 0.5000 0.5000 0.2622 1
Pr1 0.0000 0.0000 0.5000 1
# Theoretical density ... 6.3 g cm⁻³
# Energy above the lowest structure with this stoichiometry ... 3.6 meV/atom
# Size of the total moment ... 0.00 μB per cell
# Formation enthalpy at 0 K ... 24 meV per atom

=====

Record 7
# Ca4Ac2Pr3, optimized geometry, DFT PBE
data_Ca4Ac2Pr3
_chemical_formula_sum 'Ca4 Ac2 Pr3'
_space_group_name_H-M_alt 'P 3 m 1'
_space_group_IT_number 156
_cell_length_a 3.8281
_cell_length_b 3.8281
_cell_length_c 28.8142
_cell_angle_alpha 90.00
_cell_angle_beta 90.00
_cell_angle_gamma 120.00
loop_
_space_group_symop_operation_xyz
'x,y,z'
'-y,x-y,z'
'-x+y,-x,z'
'-y,-x,z'
'-x+y,y,z'
'x,x-y,z'
loop_
_atom_site_label
_atom_site_fract_x
_atom_site_fract_y
_atom_site_fract_z
_atom_site_occupancy
Ca1 0.0000 0.0000 0.0000 1
Ca2 0.0000 0.0000 0.2138 1
Ca3 0.3333 0.6667 0.3265 1
Ca4 0.3333 0.6667 0.5406 1
Ac1 0.3333 0.6667 0.6699 1
Ac2 0.3333 0.6667 0.8853 1
Pr1 0.0000 0.0000 0.4339 1
Pr2 0.0000 0.0000 0.7760 1
Pr3 0.3333 0.6667 0.1063 1
# Theoretical density ... 4.7 g cm⁻³
# Size of the total moment ... 0.89 μB per cell
# Formation enthalpy at 0 K ... 73 meV per atom

=====

Record 8
# CaAcPr, optimized geometry, DFT PBE
data_CaAcPr
_chemical_formula_sum 'Ca2 Ac2 Pr2'
_space_group_name_H-M_alt 'P 1 21/m 1'
_space_group_IT_number 11
_cell_length_a 3.8848
_cell_length_b 5.4214
_cell_length_c 11.6738
_cell_angle_alpha 90.00
_cell_angle_beta 90.03
_cell_angle_gamma 90.00
loop_
_space_group_symop_operation_xyz
'x,y,z'
'-x,-y,-z'
'-x,y+1/2,-z'
'x,-y+1/2,z'
loop_
_atom_site_label
_atom_site_fract_x
_atom_site_fract_y
_atom_site_fract_z
_atom_site_occupancy
Ca1 0.2489 0.2500 0.0851 1
Ac1 0.2517 0.2500 0.7403 1
Pr1 0.2493 0.2500 0.4235 1
# Theoretical density ... 5.5 g cm⁻³
# Energy above the lowest structure with this stoichiometry ... 11.5 meV/atom
# Size of the total moment ... 0.00 μB per cell
# Formation enthalpy at 0 K ... 33 meV per atom